Material: BaRuW
Method: DFT, SCAN
State: single point on PBEsol structure

Computed properties:
total energy	-142.080	eV/f.u.
volume	78.5	Å³/f.u.
total magnetization	0.000	μB/atom

a = 4.1120 Å, b = 4.1120 Å, c = 5.3578 Å
α = 90.00°, β = 90.00°, γ = 120.00°
Closest atoms and distances in Å follow each position.
Sites, in units of the cell vectors:
Ba 0.0000 0.0000 0.0000  6 Ru 3.45-3.71, 6 W 3.50-3.66
Ru 0.3333 0.6667 0.5320  3 W 2.39
W 0.6667 0.3333 0.4802  3 Ru 2.39

---

Material: BaRu2W
Method: DFT, SCAN
State: single point on PBEsol structure

Computed properties:
total energy	-173.680	eV/f.u.
volume	72.7	Å³/f.u.
total magnetization	0.000	μB/atom

a = 4.9317 Å, b = 4.9317 Å, c = 2.9904 Å
α = 90.00°, β = 90.00°, γ = 90.00°
Closest atoms and distances in Å follow each position.
Sites, in units of the cell vectors:
Ba 0.0000 0.0000 0.0000  8 Ru 2.88, 2 Ba 2.99
Ru 0.0000 0.5000 0.5000  4 Ba 2.88, 4 W 2.88, 2 Ru 2.99
Ru 0.5000 0.0000 0.5000  4 Ba 2.88, 4 W 2.88, 2 Ru 2.99
W 0.5000 0.5000 0.0000  8 Ru 2.88, 2 W 2.99